No. 1
The following is a DFT calculation (PBE-GGA) of a geometry-optimized LiAgTe3As structure.

## Properties
E_tot: -3.34 eV per atom
V: 331.5 Å³/cell
Size of the total moment: 0.00 μB per formula unit
Energy relative to the elements, uncorrected: -0.205 eV per atom

abc: 8.733 3.805 10.160
angles: 90.00 100.94 90.00
Space group P2_1/m (No. 11)
Symmetry-distinct sites (fractional):
Li1 0.221 0.250 0.244
Ag1 0.126 0.750 0.544
Te1 0.020 0.250 0.729
Te2 0.301 0.750 0.029
Te3 0.451 0.750 0.642
As1 0.402 0.250 0.835

No. 2
The following is a DFT calculation (PBE-GGA) of a geometry-optimized LiTlAgAs structure.

## Properties
E_tot: -3.06 eV per atom
V: 326.3 Å³/cell
Formation energy: -112 meV per atom
Size of the total moment: 0.00 μB per formula unit

abc: 6.885 6.885 6.885
angles: 90.00 90.00 90.00
Space group F-43m (No. 216)
Symmetry-distinct sites (fractional):
Li1 0.000 0.000 0.000
Tl1 0.250 0.250 0.750
Ag1 0.000 0.000 0.500
As1 0.250 0.250 0.250

No. 3
The following is a DFT calculation (PBE-GGA) of a geometry-optimized Li2TlAgAs structure.

## Properties
E_tot: -2.92 eV per atom
V: 119.1 Å³/cell
Formation energy: -177 meV per atom
Size of the total moment: 0.00 μB per formula unit

abc: 4.862 4.862 5.038
angles: 90.00 90.00 90.00
Space group P4/mmm (No. 123)
Symmetry-distinct sites (fractional):
Li1 0.000 0.500 0.000
Tl1 0.000 0.000 0.500
Ag1 0.500 0.500 0.500
As1 0.500 0.500 0.000

What did the second record say?
The following is a DFT calculation (PBE-GGA) of a geometry-optimized LiTlAgAs structure.

## Properties
E_tot: -3.06 eV per atom
V: 326.3 Å³/cell
Formation energy: -112 meV per atom
Size of the total moment: 0.00 μB per formula unit

abc: 6.885 6.885 6.885
angles: 90.00 90.00 90.00
Space group F-43m (No. 216)
Symmetry-distinct sites (fractional):
Li1 0.000 0.000 0.000
Tl1 0.250 0.250 0.750
Ag1 0.000 0.000 0.500
As1 0.250 0.250 0.250

Question: Look up the V of the first one.
Answer: 331.5 Å³/cell

Question: What is the V in the first record?
Answer: 331.5 Å³/cell